Entry 1:
Computed, not measured: a geometry-optimized RbTlS structure at the PBE level of DFT. Values from VASP.

Output
The value obtained for the formation energy without anion corrections is -0.597 eV/atom. The total energy is -3.08 eV/atom. Its energy above the most stable polymorph in this dataset is 122 meV/atom. As for the theoretical density: 3.93 g cm⁻³.

Quantum ESPRESSO input file:
```
&SYSTEM
  ibrav = 0, nat = 12, ntyp = 3
/
ATOMIC_SPECIES
Rb 85.47 Rb.upf
Tl 204.38 Tl.upf
S 32.06 S.upf
CELL_PARAMETERS angstrom
-4.162 5.998 -2.923
-5.646 -0.605 6.799
3.904 5.705 3.749
ATOMIC_POSITIONS angstrom
Rb -2.611 5.941 -1.640
Rb 2.353 5.761 2.466
Rb -1.401 5.492 5.096
Rb -4.503 5.605 2.530
Tl -3.038 9.377 4.086
Tl -5.728 3.224 7.067
Tl -0.176 7.873 0.559
Tl -2.865 1.720 3.540
S -4.583 5.376 5.777
S -1.889 11.526 2.791
S -1.321 5.721 1.848
S -4.015 -0.428 4.835
```

=====

Entry 2:
Computed, not measured: a geometry-optimized RbTlS structure at the PBE level of DFT. Values from VASP.

Output
The value obtained for the formation energy without anion corrections is -0.719 eV/atom. The total energy is -3.21 eV/atom. Its energy above the most stable polymorph in this dataset is 0 meV/atom. As for the theoretical density: 5.08 g cm⁻³.

Quantum ESPRESSO input file:
```
&SYSTEM
  ibrav = 0, nat = 12, ntyp = 3
/
ATOMIC_SPECIES
Rb 85.47 Rb.upf
Tl 204.38 Tl.upf
S 32.06 S.upf
CELL_PARAMETERS angstrom
4.184 0.000 0.000
0.000 7.989 0.000
0.000 0.000 12.581
ATOMIC_POSITIONS angstrom
Rb 1.046 3.662 2.667
Rb 1.046 7.657 3.623
Rb 3.138 4.327 9.914
Rb 3.138 0.332 8.958
Tl 1.046 1.568 12.129
Tl 3.138 2.426 5.839
Tl 3.138 6.421 0.452
Tl 1.046 5.563 6.743
S 3.138 5.184 4.802
S 3.138 1.190 1.489
S 1.046 6.799 11.092
S 1.046 2.805 7.779
```